Entry 1:
4
Lattice="6.4702 0.4393 0.0496 3.5441 5.4311 -0.0496 -4.8943 -3.1278 2.8849" Properties=species:S:1:pos:R:3 comment="AgSb2Au | Alexandria | PBE-GGA | optimized geometry" raw_formation_energy_ev_per_atom=0.093 total_energy_ev_per_cell=-14.00 polymorph_energy_ev_per_fu=0.22 pbc="T T T"
Ag 3.2916 0.1234 1.4673
Sb 0.6988 0.4096 0.0000
Sb 4.3084 2.5256 0.0000
Au 1.8285 2.6193 1.4177



Entry 2:
28
Lattice="-2.3995 -6.4527 4.5597 7.3150 -3.6155 -1.2670 2.9865 3.6711 6.7668" Properties=species:S:1:pos:R:3 comment="Ag3SbAu3 | Alexandria | PBE-GGA | optimized geometry" raw_formation_energy_ev_per_atom=0.028 total_energy_ev_per_cell=-89.26 polymorph_energy_ev_per_fu=0.00 pbc="T T T"
Sb -0.3259 -4.3197 7.9861
Sb 3.5899 -2.9062 4.5701
Sb 5.8078 -6.8037 1.5883
Sb 6.7322 1.2356 5.9745
Ag 0.4754 -2.6863 5.3357
Ag 6.3464 -3.0414 1.9342
Ag 7.1569 -5.7938 9.1110
Ag 3.0909 0.2832 6.6056
Ag 4.5164 0.1065 3.9374
Ag 7.3791 -3.3721 4.8095
Ag 0.9399 -0.7609 1.1965
Ag 3.9336 -2.1370 8.3013
Ag 3.6554 -4.4204 1.7350
Ag 0.8841 -5.5973 4.5996
Ag 3.5515 -6.5240 5.8118
Ag 5.4827 -4.4385 6.9796
Au 5.5443 -8.0322 4.3546
Au 2.4612 -4.1189 6.7934
Au 5.5055 -1.5432 6.0400
Au 7.2098 -0.7097 3.6902
Au 1.7475 -0.5667 3.9677
Au 3.1075 -6.8979 2.9776
Au 2.0762 -3.7977 9.7716
Au 5.2604 -5.0458 4.0051
Au 3.6409 -1.5727 1.8407
Au 8.4879 -1.2105 6.3804
Au 1.2575 -3.2407 2.6521
Au 1.1133 -1.6459 7.8838



Entry 3:
16
Lattice="5.2224 0.0000 0.0000 0.0000 5.9445 0.0000 0.0000 0.0000 9.7149" Properties=species:S:1:pos:R:3 comment="Ag3SbAu4 | Alexandria | PBE-GGA | optimized geometry" raw_formation_energy_ev_per_atom=-0.010 total_energy_ev_per_cell=-51.73 polymorph_energy_ev_per_fu=0.00 pbc="T T T"
Au 2.6112 4.4864 4.8574
Au 2.6112 1.4581 0.0000
Au 2.6112 4.4864 0.0000
Au 4.3501 1.4471 2.4287
Au 0.8723 1.4471 7.2862
Au 4.3501 4.4974 2.4287
Au 0.8723 4.4974 7.2862
Au 2.6112 1.4581 4.8574
Sb 0.0000 2.9723 4.8574
Sb 0.0000 2.9723 0.0000
Ag 3.4939 0.0000 7.2862
Ag 1.8059 2.9723 2.4287
Ag 1.7285 0.0000 2.4287
Ag 0.0000 0.0000 4.8574
Ag 3.4165 2.9723 7.2862
Ag 0.0000 0.0000 0.0000



Entry 4:
4
Lattice="3.0772 0.0230 0.0000 -0.0291 3.0777 0.0000 0.0000 0.0000 8.5363" Properties=species:S:1:pos:R:3 comment="AgSbAu2 | Alexandria | PBE-GGA | optimized geometry" raw_formation_energy_ev_per_atom=0.065 total_energy_ev_per_cell=-13.27 pbc="T T T"
Ag 1.5240 1.5504 6.4022
Au 0.0000 0.0000 8.3775
Au 0.0000 0.0000 4.4269
Sb 1.5240 1.5504 2.1341



Entry 5:
4
Lattice="-1.8320 -3.6192 2.2267 -0.1008 -4.6213 -0.2138 5.3473 -1.0023 4.2047" Properties=species:S:1:pos:R:3 comment="AgSb2Au | Alexandria | PBE-GGA | optimized geometry" raw_formation_energy_ev_per_atom=0.086 total_energy_ev_per_cell=-14.03 polymorph_energy_ev_per_fu=0.19 pbc="T T T"
Sb -1.6410 -8.1204 2.1705
Sb 2.2903 -7.0426 4.5166
Ag 1.6056 -4.6754 3.0588
Au 0.9341 -2.2663 1.5932



Entry 6:
4
Lattice="-1.1022 3.4790 -7.2595 1.0340 0.7205 -8.0268 -2.4909 0.2215 -7.7307" Properties=species:S:1:pos:R:3 comment="AgSbAu2 | Alexandria | PBE-GGA | optimized geometry" raw_formation_energy_ev_per_atom=0.116 total_energy_ev_per_cell=-13.06 pbc="T T T"
Ag -1.9108 3.3011 -17.1865
Sb -1.2863 2.2222 -11.5694
Au -0.6444 1.1133 -5.7962
Au -2.5561 4.4159 -22.9905



Entry 7:
6
Lattice="-0.8458 -2.8631 -0.0987 4.5754 -1.3266 -0.7241 1.4896 0.7403 8.0560" Properties=species:S:1:pos:R:3 comment="Ag4SbAu | Alexandria | PBE-GGA | optimized geometry" raw_formation_energy_ev_per_atom=0.046 total_energy_ev_per_cell=-18.53 polymorph_energy_ev_per_fu=0.00 pbc="T T T"
Ag 2.7980 -0.5903 2.6423
Ag 0.9740 -0.1726 6.3809
Ag -0.5633 -2.6456 1.2020
Ag 2.7159 -2.2047 5.0792
Sb 1.9972 -1.7678 -0.2597
Au 0.2028 -1.4154 3.7894



Entry 8:
8
Lattice="-4.7415 0.6694 -1.4567 0.4855 -1.7773 -2.3970 -1.1589 -5.7321 9.7371" Properties=species:S:1:pos:R:3 comment="Ag3SbAu4 | Alexandria | PBE-GGA | optimized geometry" raw_formation_energy_ev_per_atom=0.050 total_energy_ev_per_cell=-25.38 polymorph_energy_ev_per_fu=0.48 pbc="T T T"
Ag -1.6105 -3.0489 3.8413
Ag -3.8043 -3.7912 2.0422
Ag 0.2427 -0.8887 -1.1985
Au -2.5330 -4.1151 6.3539
Au -2.8819 -2.7250 -0.4703
Au -4.7165 -4.8290 4.5344
Au -0.6984 -2.0111 1.3491
Sb -2.3707 0.3347 -0.7283



Entry 9:
12
Lattice="5.4777 -0.0490 0.7282 -0.7058 5.4322 0.7282 -0.3596 -0.4057 7.8418" Properties=species:S:1:pos:R:3 comment="Ag3SbAu2 | Alexandria | PBE-GGA | optimized geometry" raw_formation_energy_ev_per_atom=0.059 total_energy_ev_per_cell=-37.76 pbc="T T T"
Ag 3.7594 3.2196 5.1736
Ag 1.4871 0.6561 8.0455
Ag 3.1062 1.8720 2.6886
Ag 2.9251 4.3214 1.2527
Ag 1.3060 3.1055 6.6096
Ag 0.6528 1.7579 4.1246
Sb 5.2733 -0.0490 2.6886
Sb -0.8611 5.0265 6.6096
Au 4.0698 1.8515 7.7740
Au 0.3424 3.1260 1.5242
Au 2.8825 0.5121 5.4451
Au 1.5297 4.4654 3.8531



Entry 10:
10
Lattice="7.5078 0.0000 0.0000 0.0000 7.5078 0.0000 0.0000 0.0000 4.1979" Properties=species:S:1:pos:R:3 comment="Ag2Sb2Au | Alexandria | PBE-GGA | optimized geometry" raw_formation_energy_ev_per_atom=0.151 total_energy_ev_per_cell=-32.94 polymorph_energy_ev_per_fu=0.00 pbc="T T T"
Sb 6.2628 4.9990 0.0000
Sb 4.9990 1.2450 0.0000
Sb 1.2450 2.5089 0.0000
Sb 2.5089 6.2628 0.0000
Ag 1.0213 4.7752 2.0990
Ag 6.4866 2.7326 2.0990
Ag 4.7752 6.4866 2.0990
Ag 2.7326 1.0213 2.0990
Au 0.0000 0.0000 0.0000
Au 3.7539 3.7539 0.0000



Entry 11:
4
Lattice="4.6368 0.0000 0.0000 0.0000 4.6241 0.0000 0.0000 0.0000 4.2150" Properties=species:S:1:pos:R:3 comment="AgSb2Au | Alexandria | PBE-GGA | optimized geometry" raw_formation_energy_ev_per_atom=0.133 total_energy_ev_per_cell=-13.84 polymorph_energy_ev_per_fu=0.38 pbc="T T T"
Sb 2.3184 2.3120 0.0000
Sb 0.0000 0.0000 0.0000
Ag 2.3184 0.0000 2.1075
Au 0.0000 2.3120 2.1075



Entry 12:
5
Lattice="3.0488 0.0000 0.0000 1.5244 2.6403 0.0000 1.5244 0.8801 12.5793" Properties=species:S:1:pos:R:3 comment="Ag2SbAu2 | Alexandria | PBE-GGA | optimized geometry" raw_formation_energy_ev_per_atom=0.157 total_energy_ev_per_cell=-15.60 polymorph_energy_ev_per_fu=0.61 pbc="T T T"
Au 4.5731 2.6403 9.9785
Au 1.5244 0.8801 2.6008
Ag 3.0488 1.7602 4.9292
Ag 3.0488 1.7602 7.6501
Sb 0.0000 0.0000 0.0000